VASP calculation (PBE-GGA) on a relaxed structure of Sr2Tl12In5.

extended XYZ file:
```
19
Lattice="9.462 -5.618 0.000 9.462 5.618 0.000 -1.581 0.000 5.576" Properties=species:S:1:pos:R:3 pbc="T T T"
Sr 9.462 3.010 0.000
Sr 9.462 -3.010 0.000
Tl 4.381 2.724 4.443
Tl 2.233 0.000 0.203
Tl 6.791 2.783 2.170
Tl 10.551 2.783 3.406
Tl 6.488 0.000 4.256
Tl 12.961 2.724 1.133
Tl 4.381 -2.724 4.443
Tl 10.854 0.000 1.320
Tl 6.791 -2.783 2.170
Tl 10.551 -2.783 3.406
Tl 15.109 0.000 5.373
Tl 12.961 -2.724 1.133
In -0.790 0.000 2.788
In 2.972 0.000 3.367
In 5.526 0.000 1.073
In 11.816 0.000 4.503
In 14.370 0.000 2.209
```

Output
E = -2.455 eV per atom
symmetry = C2/m (12)

VASP calculation (PBE-GGA) on a relaxed structure of SrTlIn.

extended XYZ file:
```
12
Lattice="12.159 0.000 0.000 0.000 5.143 0.000 -5.516 0.000 6.088" Properties=species:S:1:pos:R:3 pbc="T T T"
Sr -1.097 0.000 1.782
Sr 1.661 2.571 4.306
Sr 4.983 2.571 1.782
Sr 7.740 0.000 4.306
Tl -2.052 2.571 4.469
Tl 2.616 0.000 1.619
Tl 4.027 0.000 4.469
Tl 8.695 2.571 1.619
In 1.270 2.571 0.738
In -0.706 0.000 5.350
In 7.349 0.000 0.738
In 5.374 2.571 5.350
```

Output
E = -2.641 eV per atom
symmetry = C2/m (12)

VASP calculation (PBE-GGA) on a relaxed structure of Sr2Tl8In.

extended XYZ file:
```
11
Lattice="5.129 0.000 0.000 0.000 5.129 0.000 0.000 0.000 13.221" Properties=species:S:1:pos:R:3 pbc="T T T"
Sr 0.000 0.000 2.471
Sr 0.000 0.000 10.750
Tl 0.000 2.565 0.000
Tl 0.000 2.565 4.811
Tl 0.000 2.565 8.410
Tl 2.565 0.000 0.000
Tl 2.565 0.000 4.811
Tl 2.565 0.000 8.410
Tl 2.565 2.565 2.383
Tl 2.565 2.565 10.838
In 0.000 0.000 6.610
```

Output
E = -2.443 eV per atom
symmetry = P4/mmm (123)

VASP calculation (PBE-GGA) on a relaxed structure of Sr2Tl3In3.

extended XYZ file:
```
8
Lattice="4.921 0.000 0.000 0.000 4.973 0.000 0.000 0.000 9.818" Properties=species:S:1:pos:R:3 pbc="T T T"
Sr 0.000 0.000 2.459
Sr 0.000 0.000 7.359
Tl 0.000 2.487 0.000
Tl 2.461 0.000 0.000
Tl 2.461 0.000 4.909
In 0.000 2.487 4.909
In 2.461 2.487 2.550
In 2.461 2.487 7.269
```

Output
E = -2.606 eV per atom
symmetry = Pmmm (47)

VASP calculation (PBE-GGA) on a relaxed structure of Sr2TlIn.

extended XYZ file:
```
12
Lattice="4.028 0.000 0.000 -2.014 3.489 0.000 0.000 0.000 31.627" Properties=species:S:1:pos:R:3 pbc="T T T"
Sr 0.000 0.000 7.905
Sr 0.000 0.000 23.722
Sr 0.000 2.326 13.180
Sr 0.000 2.326 28.990
Sr 2.014 1.163 2.637
Sr 2.014 1.163 18.448
Tl 0.000 0.000 0.000
Tl 0.000 2.326 21.085
Tl 2.014 1.163 10.542
In 0.000 0.000 15.814
In 0.000 2.326 5.271
In 2.014 1.163 26.356
```

Output
E = -2.370 eV per atom
symmetry = R-3m (166)

VASP calculation (PBE-GGA) on a relaxed structure of Sr2TlIn2.

extended XYZ file:
```
10
Lattice="6.222 -2.614 0.000 6.222 2.614 0.000 -4.053 0.000 10.161" Properties=species:S:1:pos:R:3 pbc="T T T"
Sr -0.316 0.000 3.892
Sr 1.842 0.000 0.540
Sr 6.550 0.000 9.621
Sr 8.708 0.000 6.269
Tl -0.233 0.000 7.556
Tl 8.625 0.000 2.604
In 3.378 0.000 3.849
In 2.741 0.000 8.678
In 5.651 0.000 1.483
In 5.014 0.000 6.311
```

Output
distance to the lowest polymorph of the same formula = 46 meV/atom
symmetry = C2/m (12)

| no. | total magnetization (μB per atom) | DOS(E_F) (states/eV/atom) |
| --- | --- | --- |
| 1 | 0.000 | 0.49 |
| 2 | 0.000 | 0.43 |
| 3 | 0.000 | 0.60 |
| 4 | 0.000 | 0.72 |
| 5 | 0.000 | 0.68 |
| 6 | 0.000 | 0.77 |